# 1
The following is a GGA-PBE calculation of a relaxed structure of TcSn2PbI, from Alexandria via LeMat-Bulk.

Computed properties:
Space-group type ... P4/mmm
Uncorrected formation energy ... -0.06 eV per atom
Magnetization ... 0.00 μB per cell

a = 5.2319 Å, b = 5.2319 Å, c = 5.4052 Å
α = 90.00°, β = 90.00°, γ = 90.00°
With the nearest neighbours (Å) after each atom.
Atoms (fractional coordinates):
Pb (0.0000, 0.0000, 0.5000)  2 Tc 2.70
I (0.5000, 0.5000, 0.5000)  4 Pb 3.70, 8 Sn 3.76
Sn (0.0000, 0.5000, 0.0000)  2 Tc 2.62
Sn (0.5000, 0.0000, 0.0000)  2 Tc 2.62
Tc (0.0000, 0.0000, 0.0000)  4 Sn 2.62, 2 Pb 2.70

---

# 2
The following is a GGA-PBE calculation of a relaxed structure of Al2ZnFe2, from Alexandria via LeMat-Bulk.

Computed properties:
Space-group type ... P4/mbm
Energy of formation ... -0.3 eV per formula unit
Magnetization ... 5.28 μB per cell
E above lowest polymorph ... 32 meV/atom

a = 6.8741 Å, b = 6.8741 Å, c = 2.7942 Å
α = 90.00°, β = 90.00°, γ = 90.00°
With the nearest neighbours (Å) after each atom.
Atoms (fractional coordinates):
Zn (0.0000, 0.0000, 0.0000)  4 Al 2.68, 2 Zn 2.79, 8 Fe 2.93
Zn (0.5000, 0.5000, 0.0000)  4 Al 2.68, 2 Zn 2.79, 8 Fe 2.93
Fe (0.1615, 0.6615, 0.5000)  6 Al 2.42-2.48
Fe (0.6615, 0.8385, 0.5000)  6 Al 2.42-2.48
Fe (0.8385, 0.3385, 0.5000)  6 Al 2.42-2.48
Fe (0.3385, 0.1615, 0.5000)  6 Al 2.42-2.48
Al (0.3651, 0.8651, 0.0000)  6 Fe 2.42-2.48, 1 Al 2.62, 2 Zn 2.68
Al (0.8651, 0.6349, 0.0000)  6 Fe 2.42-2.48, 1 Al 2.62, 2 Zn 2.68
Al (0.6349, 0.1349, 0.0000)  6 Fe 2.42-2.48, 1 Al 2.62, 2 Zn 2.68
Al (0.1349, 0.3651, 0.0000)  6 Fe 2.42-2.48, 1 Al 2.62, 2 Zn 2.68

---

# 3
The following is a GGA-PBE calculation of a relaxed structure of AcGa2Pd4Au, from Alexandria via LeMat-Bulk.

Computed properties:
Space-group type ... R-3m
Energy of formation ... -4.7 eV per formula unit
Magnetization ... 0.00 μB per cell

a = 4.3455 Å, b = 4.3455 Å, c = 9.7321 Å
α = 77.10°, β = 77.10°, γ = 60.00°
With the nearest neighbours (Å) after each atom.
Atoms (fractional coordinates):
Ac (0.0000, 0.0000, 0.0000)  8 Pd 3.17-3.42
Ga (0.7648, 0.7648, 0.7057)  6 Pd 2.59-2.64
Ga (0.2352, 0.2352, 0.2943)  6 Pd 2.59-2.64
Pd (0.4019, 0.4019, 0.7943)  3 Ga 2.64, 1 Au 2.77, 3 Pd 2.92
Pd (0.8787, 0.8787, 0.3638)  3 Ga 2.59, 3 Au 2.82
Pd (0.1213, 0.1213, 0.6362)  3 Ga 2.59, 3 Au 2.82
Pd (0.5981, 0.5981, 0.2057)  3 Ga 2.64, 1 Au 2.77, 3 Pd 2.92
Au (0.5000, 0.5000, 0.5000)  8 Pd 2.77-2.82